# GGA-PBE AlSbPt2, relaxed
# - Calculated density: 11.80 g/cm³
# - Distance to the lowest polymorph of the same formula: 49.7 meV per atom
data_AlSbPt2
_cell_length_a 8.3289
_cell_length_b 3.6321
_cell_length_c 5.1277
_cell_angle_alpha 90.00
_cell_angle_beta 102.01
_cell_angle_gamma 90.00
_symmetry_space_group_name_H-M 'P 1'
_symmetry_Int_Tables_number 1
loop_
_symmetry_equiv_pos_as_xyz
'x,y,z'
loop_
_atom_site_label
_atom_site_type_symbol
_atom_site_fract_x
_atom_site_fract_y
_atom_site_fract_z
Al1 Al 0.0000 0.0000 0.0000
Al2 Al 0.5000 0.5000 0.0000
Sb1 Sb 0.2963 0.5000 0.4252
Sb2 Sb 0.7963 0.0000 0.4252
Pt1 Pt 0.0370 0.5000 0.6731
Pt2 Pt 0.2945 0.0000 0.0073
Pt3 Pt 0.5370 0.0000 0.6731
Pt4 Pt 0.7945 0.5000 0.0073

# GGA-PBE Li2ZrTc, relaxed
# - Energy of formation: 0.214 eV/atom
# - Calculated density: 4.88 g/cm³
# - Distance to the lowest polymorph of the same formula: 70.5 meV per atom
data_Li2ZrTc
_cell_length_a 5.1787
_cell_length_b 10.2617
_cell_length_c 2.8035
_cell_angle_alpha 90.00
_cell_angle_beta 111.99
_cell_angle_gamma 90.00
_symmetry_space_group_name_H-M 'P 1'
_symmetry_Int_Tables_number 1
loop_
_symmetry_equiv_pos_as_xyz
'x,y,z'
loop_
_atom_site_label
_atom_site_type_symbol
_atom_site_fract_x
_atom_site_fract_y
_atom_site_fract_z
Li1 Li 0.2500 0.2500 0.0000
Li2 Li 0.2500 0.7500 0.0000
Li3 Li 0.7500 0.2500 0.0000
Li4 Li 0.7500 0.7500 0.0000
Zr1 Zr 0.0000 0.0000 0.5000
Zr2 Zr 0.5000 0.5000 0.5000
Tc1 Tc 0.0000 0.5000 0.5000
Tc2 Tc 0.5000 0.0000 0.5000

# GGA-PBE NdIn2Ag, relaxed
# - Energy of formation: -0.260 eV/atom
# - Calculated density: 8.12 g/cm³
data_NdIn2Ag
_cell_length_a 3.6006
_cell_length_b 3.6006
_cell_length_c 7.6028
_cell_angle_alpha 90.00
_cell_angle_beta 90.00
_cell_angle_gamma 90.00
_symmetry_space_group_name_H-M 'P 1'
_symmetry_Int_Tables_number 1
loop_
_symmetry_equiv_pos_as_xyz
'x,y,z'
loop_
_atom_site_label
_atom_site_type_symbol
_atom_site_fract_x
_atom_site_fract_y
_atom_site_fract_z
Nd1 Nd 0.0000 0.0000 0.0000
In1 In 0.5000 0.5000 0.2889
In2 In 0.5000 0.5000 0.7111
Ag1 Ag 0.0000 0.0000 0.5000

# GGA-PBE LiSi2Ru, relaxed
# - Calculated density: 4.48 g/cm³
# - Distance to the lowest polymorph of the same formula: 101.7 meV per atom
data_LiSi2Ru
_cell_length_a 3.9769
_cell_length_b 3.9769
_cell_length_c 13.3184
_cell_angle_alpha 90.00
_cell_angle_beta 90.00
_cell_angle_gamma 120.00
_symmetry_space_group_name_H-M 'P 1'
_symmetry_Int_Tables_number 1
loop_
_symmetry_equiv_pos_as_xyz
'x,y,z'
loop_
_atom_site_label
_atom_site_type_symbol
_atom_site_fract_x
_atom_site_fract_y
_atom_site_fract_z
Li1 Li 0.0000 0.0000 0.0000
Li2 Li 0.3333 0.6667 0.6667
Li3 Li 0.6667 0.3333 0.3333
Si1 Si 0.0000 0.0000 0.2096
Si2 Si 0.0000 0.0000 0.4264
Si3 Si 0.3333 0.6667 0.0931
Si4 Si 0.3333 0.6667 0.8763
Si5 Si 0.6667 0.3333 0.5430
Si6 Si 0.6667 0.3333 0.7598
Ru1 Ru 0.0000 0.0000 0.8052
Ru2 Ru 0.3333 0.6667 0.4719
Ru3 Ru 0.6667 0.3333 0.1386

# GGA-PBE RbAuCl3, relaxed
# - Calculated density: 2.96 g/cm³
data_RbAuCl3
_cell_length_a 6.0227
_cell_length_b 6.0227
_cell_length_c 6.0227
_cell_angle_alpha 90.00
_cell_angle_beta 90.00
_cell_angle_gamma 90.00
_symmetry_space_group_name_H-M 'P 1'
_symmetry_Int_Tables_number 1
loop_
_symmetry_equiv_pos_as_xyz
'x,y,z'
loop_
_atom_site_label
_atom_site_type_symbol
_atom_site_fract_x
_atom_site_fract_y
_atom_site_fract_z
Rb1 Rb 0.0000 0.0000 0.0000
Au1 Au 0.5000 0.5000 0.5000
Cl1 Cl 0.0000 0.0000 0.5000
Cl2 Cl 0.0000 0.5000 0.0000
Cl3 Cl 0.5000 0.0000 0.0000

# GGA-PBE LiDyScRe, relaxed
# - Energy of formation: 0.036 eV/atom
# - Calculated density: 8.56 g/cm³
data_LiDyScRe
_cell_length_a 6.7732
_cell_length_b 6.7732
_cell_length_c 6.7732
_cell_angle_alpha 90.00
_cell_angle_beta 90.00
_cell_angle_gamma 90.00
_symmetry_space_group_name_H-M 'P 1'
_symmetry_Int_Tables_number 1
loop_
_symmetry_equiv_pos_as_xyz
'x,y,z'
loop_
_atom_site_label
_atom_site_type_symbol
_atom_site_fract_x
_atom_site_fract_y
_atom_site_fract_z
Li1 Li 0.0000 0.0000 0.0000
Li2 Li 0.0000 0.5000 0.5000
Li3 Li 0.5000 0.0000 0.5000
Li4 Li 0.5000 0.5000 0.0000
Dy1 Dy 0.2500 0.2500 0.7500
Dy2 Dy 0.2500 0.7500 0.2500
Dy3 Dy 0.7500 0.2500 0.2500
Dy4 Dy 0.7500 0.7500 0.7500
Sc1 Sc 0.2500 0.2500 0.2500
Sc2 Sc 0.2500 0.7500 0.7500
Sc3 Sc 0.7500 0.2500 0.7500
Sc4 Sc 0.7500 0.7500 0.2500
Re1 Re 0.0000 0.0000 0.5000
Re2 Re 0.0000 0.5000 0.0000
Re3 Re 0.5000 0.0000 0.0000
Re4 Re 0.5000 0.5000 0.5000

# GGA-PBE YHo2Ga, relaxed
# - Energy of formation: -0.267 eV/atom
# - Calculated density: 7.19 g/cm³
# - Distance to the lowest polymorph of the same formula: 15.2 meV per atom
data_YHo2Ga
_cell_length_a 4.2062
_cell_length_b 11.7939
_cell_length_c 9.0996
_cell_angle_alpha 90.00
_cell_angle_beta 90.00
_cell_angle_gamma 90.00
_symmetry_space_group_name_H-M 'P 1'
_symmetry_Int_Tables_number 1
loop_
_symmetry_equiv_pos_as_xyz
'x,y,z'
loop_
_atom_site_label
_atom_site_type_symbol
_atom_site_fract_x
_atom_site_fract_y
_atom_site_fract_z
Y1 Y 0.0000 0.0603 0.2500
Y2 Y 0.0000 0.9397 0.7500
Y3 Y 0.5000 0.4397 0.7500
Y4 Y 0.5000 0.5603 0.2500
Ho1 Ho 0.0000 0.3559 0.0578
Ho2 Ho 0.0000 0.3559 0.4422
Ho3 Ho 0.0000 0.6441 0.5578
Ho4 Ho 0.0000 0.6441 0.9422
Ho5 Ho 0.5000 0.1441 0.5578
Ho6 Ho 0.5000 0.1441 0.9422
Ho7 Ho 0.5000 0.8559 0.0578
Ho8 Ho 0.5000 0.8559 0.4422
Ga1 Ga 0.0000 0.2549 0.7500
Ga2 Ga 0.0000 0.7451 0.2500
Ga3 Ga 0.5000 0.2451 0.2500
Ga4 Ga 0.5000 0.7549 0.7500

# GGA-PBE CeDy3Sb4, relaxed
# - Calculated density: 7.62 g/cm³
data_CeDy3Sb4
_cell_length_a 8.8299
_cell_length_b 12.4691
_cell_length_c 4.4120
_cell_angle_alpha 90.00
_cell_angle_beta 90.00
_cell_angle_gamma 90.00
_symmetry_space_group_name_H-M 'P 1'
_symmetry_Int_Tables_number 1
loop_
_symmetry_equiv_pos_as_xyz
'x,y,z'
loop_
_atom_site_label
_atom_site_type_symbol
_atom_site_fract_x
_atom_site_fract_y
_atom_site_fract_z
Ce1 Ce 0.0000 0.0000 0.0000
Ce2 Ce 0.5000 0.5000 0.0000
Dy1 Dy 0.0000 0.5000 0.0000
Dy2 Dy 0.2500 0.2500 0.5000
Dy3 Dy 0.2500 0.7500 0.5000
Dy4 Dy 0.5000 0.0000 0.0000
Dy5 Dy 0.7500 0.2500 0.5000
Dy6 Dy 0.7500 0.7500 0.5000
Sb1 Sb 0.0000 0.2516 0.0000
Sb2 Sb 0.0000 0.7484 0.0000
Sb3 Sb 0.2460 0.5000 0.5000
Sb4 Sb 0.2540 0.0000 0.5000
Sb5 Sb 0.5000 0.2484 0.0000
Sb6 Sb 0.5000 0.7516 0.0000
Sb7 Sb 0.7460 0.0000 0.5000
Sb8 Sb 0.7540 0.5000 0.5000

We obtain electronic total energy values of -43.885; -43.772; -14.136; -69.062; -9.041; -100.606; -78.854; -90.210 eV for the cell shown for the records listed above, in that order.